No. 1
Density functional theory data (PBE) for Nd3GaHg after structural relaxation.

Space-group type: Cmcm, No. 63

Cell: 7.525 7.525 10.151 Å, 90.00 90.00 145.89°
Atoms (fractional coordinates):
Nd  0.127  0.873  0.750
Nd  0.345  0.655  0.561
Nd  0.345  0.655  0.939
Nd  0.655  0.345  0.061
Nd  0.655  0.345  0.439
Nd  0.873  0.127  0.250
Ga  0.229  0.771  0.250
Ga  0.771  0.229  0.750
Hg  0.000  0.000  0.000
Hg  0.000  0.000  0.500

=====

No. 2
Density functional theory data (PBE) for Nd8GaHg2 after structural relaxation.

Space-group type: C2/m, No. 12

Cell: 9.874 9.874 7.115 Å, 108.20 108.20 31.36°
Atoms (fractional coordinates):
Nd  0.015  0.015  0.274
Nd  0.200  0.200  0.825
Nd  0.336  0.336  0.512
Nd  0.410  0.410  0.037
Nd  0.590  0.590  0.963
Nd  0.664  0.664  0.488
Nd  0.800  0.800  0.175
Nd  0.985  0.985  0.726
Ga  0.500  0.500  0.500
Hg  0.174  0.174  0.230
Hg  0.826  0.826  0.770

=====

Which total magnetic moment belongs to each record? In order, 0.00, 0.00 Bohr magnetons per cell.
Which uncorrected energy belongs to each record? In order, -3.810, -4.041 eV/atom.
Which Fermi-level density of states belongs to each record? In order, 1.0410, 1.0357 states/eV per atom.